A relaxed structure of Co2TcPb. Source: Alexandria via LeMat-Bulk, functional PBE.

Summary:
formation energy	2.255	eV/f.u.
V	14.9	A^3/atom

```
data_Co2TcPb
_cell_length_a 3.404
_cell_length_b 4.152
_cell_length_c 8.452
_cell_angle_alpha 90.00
_cell_angle_beta 90.00
_cell_angle_gamma 90.00
_space_group_name_H-M_alt 'I m m 2'
_space_group_IT_number 44
loop_
_space_group_symop_operation_xyz
'x,y,z'
'-x,-y,z'
'-x,y,z'
'x,-y,z'
'x+1/2,y+1/2,z+1/2'
'-x+1/2,-y+1/2,z+1/2'
'-x+1/2,y+1/2,z+1/2'
'x+1/2,-y+1/2,z+1/2'
loop_
_atom_site_label
_atom_site_type_symbol
_atom_site_fract_x
_atom_site_fract_y
_atom_site_fract_z
_atom_site_occupancy
Co1 Co 0.000 0.000 0.000 1
Co2 Co 0.000 0.500 0.268 1
Tc1 Tc 0.000 0.000 0.516 1
Pb1 Pb 0.000 0.500 0.752 1
```